# YHfAs2, relaxed, DFT GGA-PBE
# ΔE to the lowest computed polymorph = 492 meV/atom
# D(E_F) = 3.6 states/eV per cell
# calculated total energy = -7.2011 eV/atom
# energy of formation from the pure elements = -17.80 kcal/mol of atoms
# magnetic moment = 0.80 μB per cell
data_YHfAs2
_symmetry_space_group_name_H-M 'P 1'
_symmetry_Int_Tables_number 1
_symmetry_space_group_name_Hall 'P 1'
_cell_length_a 4.8868
_cell_length_b 4.8868
_cell_length_c 4.8868
_cell_angle_alpha 60.00
_cell_angle_beta 60.00
_cell_angle_gamma 60.00
loop_
_atom_site_label
_atom_site_type_symbol
_atom_site_fract_x
_atom_site_fract_y
_atom_site_fract_z
_atom_site_occupancy
Y1 Y 0.0000 0.0000 0.0000 1
Hf1 Hf 0.5000 0.5000 0.5000 1
As1 As 0.2500 0.2500 0.2500 1
As2 As 0.7500 0.7500 0.7500 1